1.
Ba2CdRhPb | PBE | relaxed

* total DFT energy (no corrections): -3.439 eV/atom
* crystal system: tetragonal
* formation energy from the elements: -0.28 eV/atom

Unit cell a=6.0716 b=6.0716 c=5.2448 alpha=90.00 beta=90.00 gamma=90.00
Space group P4/mmm (No. 123)
Unique sites:
Ba1 0.0000 0.5000 0.0000 (multiplicity 2)
Cd1 0.0000 0.0000 0.5000 (multiplicity 1)
Rh1 0.5000 0.5000 0.0000 (multiplicity 1)
Pb1 0.5000 0.5000 0.5000 (multiplicity 1)



2.
Ba2CdRhPb | PBE | relaxed

* total DFT energy (no corrections): -3.343 eV/atom
* crystal system: tetragonal
* formation energy from the elements: -0.18 eV/atom

Unit cell a=5.8743 b=5.8743 c=5.2719 alpha=90.00 beta=90.00 gamma=90.00
Space group P4/mmm (No. 123)
Unique sites:
Ba1 0.0000 0.5000 0.0000 (multiplicity 2)
Cd1 0.0000 0.0000 0.5000 (multiplicity 1)
Rh1 0.0000 0.0000 0.0000 (multiplicity 1)
Pb1 0.5000 0.5000 0.5000 (multiplicity 1)